a | Entry from Alexandria via LeMat-Bulk: an optimized crystal structure of SiMoCl (PBE-GGA).

V (Å³ per cell): 46.9
DOS(E_F) (states/eV per atom): 0.762

Cell lengths 4.9189, 4.9189, 4.9189 Å; angles 146.53, 133.85, 58.20 degrees
Sites, in units of the cell vectors:
Cl  0.9831  0.9831  0.0000
Mo  0.3390  0.3390  0.0000
Si  0.6779  0.6779  0.0000

b | Entry from Alexandria via LeMat-Bulk: an optimized crystal structure of SiMoCl (PBE-GGA).

V (Å³ per cell): 46.7
DOS(E_F) (states/eV per atom): 1.063

Cell lengths 4.3561, 4.3561, 2.8411 Å; angles 90.00, 90.00, 120.00 degrees
Sites, in units of the cell vectors:
Cl  0.0000  0.0000  0.1667
Mo  0.6667  0.3333  0.1667
Si  0.3333  0.6667  0.6666

c | Entry from Alexandria via LeMat-Bulk: an optimized crystal structure of SiMoCl (PBE-GGA).

V (Å³ per cell): 57.6
DOS(E_F) (states/eV per atom): 0.224

Cell lengths 2.9502, 2.9502, 7.6362 Å; angles 90.00, 90.00, 120.00 degrees
Sites, in units of the cell vectors:
Cl  0.0000  0.0000  0.0847
Mo  0.6667  0.3333  0.3166
Si  0.3333  0.6667  0.5987

Name the most stable of them. c.

a | Entry from Alexandria via LeMat-Bulk: an optimized crystal structure of SiMoCl (PBE-GGA).

V (Å³ per cell): 237.3
DOS(E_F) (states/eV per atom): 0.613

Cell lengths 3.2361, 2.9576, 24.9842 Å; angles 90.00, 97.13, 90.00 degrees
Sites, in units of the cell vectors:
Si  0.5455  0.0000  0.5476
Si  0.4545  0.0000  0.4524
Si  0.5455  0.5000  0.0476
Si  0.4545  0.5000  0.9524
Mo  0.9023  0.0000  0.8980
Mo  0.0977  0.0000  0.1020
Mo  0.9023  0.5000  0.3980
Mo  0.0977  0.5000  0.6020
Cl  0.1704  0.0000  0.6779
Cl  0.8296  0.0000  0.3221
Cl  0.1704  0.5000  0.1779
Cl  0.8296  0.5000  0.8221

b | Entry from Alexandria via LeMat-Bulk: an optimized crystal structure of SiMoCl (PBE-GGA).

V (Å³ per cell): 128.0
DOS(E_F) (states/eV per atom): 0.387

Cell lengths 3.1390, 4.3675, 10.0185 Å; angles 86.90, 89.71, 68.94 degrees
Sites, in units of the cell vectors:
Si  0.3555  0.7875  0.0506
Si  0.6445  0.2125  0.9494
Mo  0.0776  0.3400  0.1472
Mo  0.9224  0.6600  0.8528
Cl  0.6224  0.2447  0.3337
Cl  0.3776  0.7553  0.6663

Name the most stable of them. b.